Below is MoPdN2F after structural relaxation, with properties calculated at the PBE+U level.

Cell lengths 3.975, 3.975, 4.033 Å; angles 90.00, 90.00, 90.00 degrees
Element x y z (fractional)
Mo 0.000 0.000 0.000
Pd 0.500 0.500 0.500
N 0.000 0.500 0.000
N 0.500 0.000 0.000
F 0.000 0.000 0.500

## Properties
V (Å³ per cell): 63.7
DOS(E_F) (states/eV per cell): 2.87
Energy relative to the lowest polymorph listed for this composition (eV/atom): 0.000
Crystal system: tetragonal
E (eV per atom): -5.790
Total magnetic moment (μB/cell): 0.00
Symmetry: No. 123